# 1
## FeTc2Pd (GGA-PBE)

Data for FeTc2Pd after structural relaxation.

POSCAR file:
```
FeTc2Pd
1.0
3.426 -2.150 1.399
0.016 -4.279 -0.069
2.499 -2.086 -2.779
Fe Pd Tc
1 1 2
direct
0.250 0.250 0.250
0.500 0.500 0.500
0.000 0.000 0.000
0.750 0.750 0.750
```

Computed properties:
* E: -8.264 eV/atom
* M_tot: 2.078 μB per cell

---

# 2
## TbErMo2C3 (GGA-PBE)

Data for TbErMo2C3 after structural relaxation.

POSCAR file:
```
TbErMo2C3
1.0
5.657 -1.693 0.000
5.657 1.693 0.000
-1.745 0.000 5.419
C Er Mo Tb
3 1 2 1
direct
0.272 0.272 0.243
0.730 0.730 0.759
0.999 0.999 0.996
0.386 0.386 0.680
0.850 0.850 0.126
0.150 0.150 0.874
0.613 0.613 0.321
```

Computed properties:
* E: -8.692 eV/atom
* M_tot: 0.004 μB per cell